Below is crystalline MnCdAs at its relaxed geometry, with properties calculated at the GGA-PBE level.

Summary:
offset from the most stable computed form = 235.5 meV/atom
formation enthalpy at 0 K = 0.190 eV/atom

Cell lengths 4.1547, 4.1547, 3.9703 Å; angles 90.00, 90.00, 120.00 degrees
Closest atoms and distances in Å follow each position.
Space group P-6m2 (No. 187)
Symmetry-distinct sites (fractional):
Mn (0.0000, 0.0000, 0.0000)  3 As 2.40
Cd (0.3333, 0.6667, 0.5000)  6 Mn 3.11, 6 As 3.11
As (0.6667, 0.3333, 0.0000)  3 Mn 2.40


Below is crystalline MnCdAs2 at its relaxed geometry, with properties calculated at the GGA-PBE level.

Summary:
formation enthalpy at 0 K = 0.221 eV/atom

Cell lengths 5.7942, 7.1789, 3.6552 Å; angles 90.00, 90.53, 90.00 degrees
Closest atoms and distances in Å follow each position.
Space group C2/m (No. 12)
Symmetry-distinct sites (fractional):
Mn (0.0000, 0.0000, 0.0000)  2 Cd 2.90, 8 As 2.93-2.95
Cd (0.0000, 0.5000, 0.0000)  2 Mn 2.90, 8 As 2.93-2.95
As (0.2500, 0.2500, 0.5000)  2 As 2.90, 4 Cd 2.93-2.95, 4 Mn 2.93-2.95


Below is crystalline Mn2CdAs at its relaxed geometry, with properties calculated at the GGA-PBE level.

Summary:
offset from the most stable computed form = 393.1 meV/atom
formation enthalpy at 0 K = 0.537 eV/atom

Cell lengths 6.4667, 6.4667, 6.4667 Å; angles 90.00, 90.00, 90.00 degrees
Closest atoms and distances in Å follow each position.
Space group F-43m (No. 216)
Symmetry-distinct sites (fractional):
Mn (0.0000, 0.0000, 0.0000)  4 As 2.80, 4 Mn 2.80
Mn (0.2500, 0.2500, 0.2500)  4 Cd 2.80, 4 Mn 2.80
Cd (0.0000, 0.0000, 0.5000)  4 As 2.80, 4 Mn 2.80
As (0.2500, 0.2500, 0.7500)  4 Cd 2.80, 4 Mn 2.80


Below is crystalline Mn2CdAs at its relaxed geometry, with properties calculated at the GGA-PBE level.

Summary:
offset from the most stable computed form = 97.2 meV/atom
formation enthalpy at 0 K = 0.242 eV/atom

Cell lengths 5.8455, 7.7593, 2.9069 Å; angles 90.00, 90.00, 90.00 degrees
Closest atoms and distances in Å follow each position.
Space group Cmmm (No. 65)
Symmetry-distinct sites (fractional):
Mn (0.2500, 0.2500, 0.0000)  4 Cd 2.83, 4 As 2.83, 4 Mn 2.91-2.92
Cd (0.0000, 0.0000, 0.5000)  8 Mn 2.83, 2 Cd 2.91, 2 As 2.92
As (0.0000, 0.5000, 0.5000)  8 Mn 2.83, 2 As 2.91, 2 Cd 2.92


Below is crystalline MnCdAs2 at its relaxed geometry, with properties calculated at the GGA-PBE level.

Summary:
formation enthalpy at 0 K = 0.222 eV/atom

Cell lengths 3.7493, 4.9848, 8.2919 Å; angles 90.00, 90.00, 90.00 degrees
Closest atoms and distances in Å follow each position.
Space group Immm (No. 71)
Symmetry-distinct sites (fractional):
Mn (0.0000, 0.0000, 0.0000)  4 As 2.57
Cd (0.0000, 0.0000, 0.5000)  8 As 3.03-3.05, 4 Mn 3.12
As (0.0000, 0.5000, 0.2873)  2 Mn 2.57


Below is crystalline MnCdAs2 at its relaxed geometry, with properties calculated at the GGA-PBE level.

Summary:
formation enthalpy at 0 K = 0.044 eV/atom

Cell lengths 3.5624, 4.5292, 9.9268 Å; angles 90.00, 90.00, 90.00 degrees
Closest atoms and distances in Å follow each position.
Space group Cmmm (No. 65)
Symmetry-distinct sites (fractional):
Mn (0.0000, 0.0000, 0.0000)  4 As 2.51
Cd (0.0000, 0.0000, 0.5000)  4 Cd 2.88
As (0.0000, 0.5000, 0.1783)  2 Mn 2.51


Copy entry 3 word for word.
Below is crystalline Mn2CdAs at its relaxed geometry, with properties calculated at the GGA-PBE level.

Summary:
offset from the most stable computed form = 393.1 meV/atom
formation enthalpy at 0 K = 0.537 eV/atom

Cell lengths 6.4667, 6.4667, 6.4667 Å; angles 90.00, 90.00, 90.00 degrees
Closest atoms and distances in Å follow each position.
Space group F-43m (No. 216)
Symmetry-distinct sites (fractional):
Mn (0.0000, 0.0000, 0.0000)  4 As 2.80, 4 Mn 2.80
Mn (0.2500, 0.2500, 0.2500)  4 Cd 2.80, 4 Mn 2.80
Cd (0.0000, 0.0000, 0.5000)  4 As 2.80, 4 Mn 2.80
As (0.2500, 0.2500, 0.7500)  4 Cd 2.80, 4 Mn 2.80